VASP calculation (PBE-GGA) on an optimized crystal structure of Pr4SnBr5.

Computed properties:
Crystal system   monoclinic
E_tot   -45.81 eV/f.u.

Cell: 18.968 4.305 8.932 Å, 90.00 101.55 90.00°
Space group C2/m (No. 12)
One atom of each set of equivalent atoms:
Pr: 0.001 0.000 0.240 x4
Pr: 0.161 0.500 0.080 x4
Sn: 0.000 0.500 0.000 x2
Br: 0.000 0.500 0.500 x2
Br: 0.166 0.000 0.322 x4
Br: 0.170 0.000 0.835 x4

---

VASP calculation (PBE-GGA) on an optimized crystal structure of HfZrIr.

Computed properties:
Crystal system   cubic
Energy above the lowest structure with this stoichiometry   15.9 kJ per mole of atoms
Energy relative to the elements   -0.57 eV per atom
E_tot   -29.07 eV/f.u.

Cell: 6.429 6.429 6.429 Å, 90.00 90.00 90.00°
Space group F-43m (No. 216)
One atom of each set of equivalent atoms:
Hf: 0.000 0.000 0.000 x4
Zr: 0.000 0.000 0.500 x4
Ir: 0.250 0.250 0.250 x4

---

Among the records above, which one has the lowest E_tot? Pr4SnBr5

---

Which of these has the highest E_tot? HfZrIr

---

The highest E_tot belongs to which entry? HfZrIr